A relaxed structure of Ac8RuRh4. Source: Alexandria, functional PBE.

Unit cell a=10.5699 b=10.5699 c=13.9510 alpha=127.83 beta=127.83 gamma=23.74
Atoms (fractional coordinates):
Ac  0.0000  0.0000  0.0000
Ac  0.0320  0.0320  0.7482
Ac  0.2842  0.2842  0.9143
Ac  0.3621  0.3621  0.4169
Ac  0.6067  0.6067  0.5858
Ac  0.6499  0.6499  0.3287
Ac  0.6955  0.6955  0.0846
Ac  0.9464  0.9464  0.2448
Ru  0.5330  0.5330  0.8826
Rh  0.1874  0.1874  0.2343
Rh  0.4659  0.4659  0.1215
Rh  0.6647  0.6647  0.8399
Rh  0.9802  0.9802  0.4871

Values from the calculation:
The value obtained for the energy of formation from the pure elements is -0.402 eV/atom.